Entry 1:
# LaBiP2Os, optimized geometry, DFT PBE
data_LaBiP2Os
_chemical_formula_sum 'La1 Bi1 P2 Os1'
_space_group_name_H-M_alt 'P 4/m m m'
_space_group_IT_number 123
_space_group_name_Hall '-P 4 2'
_cell_length_a 5.191
_cell_length_b 5.191
_cell_length_c 6.030
_cell_angle_alpha 90.00
_cell_angle_beta 90.00
_cell_angle_gamma 90.00
loop_
_atom_site_label
_atom_site_fract_x
_atom_site_fract_y
_atom_site_fract_z
La1 0.000 0.000 0.000
Bi1 0.000 0.000 0.500
P1 0.000 0.500 0.000
Os1 0.500 0.500 0.500
# - volume (Å³/cell) = 162.51
# - final energy (eV/atom) = -4.11
# - energy of formation from the pure elements (eV per atom) = 2.066
# - calculated density (Mg/m³) = 6.131


Entry 2:
# LaSnBiOs2, optimized geometry, DFT PBE
data_LaSnBiOs2
_chemical_formula_sum 'La1 Sn1 Bi1 Os2'
_space_group_name_H-M_alt 'P 4/m m m'
_space_group_IT_number 123
_space_group_name_Hall '-P 4 2'
_cell_length_a 5.038
_cell_length_b 5.038
_cell_length_c 5.573
_cell_angle_alpha 90.00
_cell_angle_beta 90.00
_cell_angle_gamma 90.00
loop_
_atom_site_label
_atom_site_fract_x
_atom_site_fract_y
_atom_site_fract_z
La1 0.000 0.000 0.000
Sn1 0.500 0.500 0.000
Bi1 0.500 0.500 0.500
Os1 0.000 0.500 0.500
# - volume (Å³/cell) = 141.48
# - final energy (eV/atom) = -5.61
# - energy of formation from the pure elements (eV per atom) = 1.447
# - calculated density (Mg/m³) = 9.942